[1]
Below is a relaxed NaSb5O8 crystal, with properties calculated at the GGA-PBE level.

abc: 7.3947 7.5346 9.8693
angles: 75.05 73.72 86.79
Last column: nearest neighbours and their distance in Å.
Space group P-1 (No. 2)
Inequivalent atoms, fractional coordinates:
Na (0.2412, 0.4392, 0.4652)  5 O 2.36-2.60
Sb (0.0344, 0.8191, 0.2235)  3 O 1.98-2.09
Sb (0.0364, 0.3999, 0.1644)  3 O 2.01-2.13
Sb (0.2420, 0.9470, 0.4684)  3 O 1.99-2.09
Sb (0.3988, 0.2382, 0.8276)  3 O 1.99-2.02
Sb (0.4809, 0.6882, 0.8401)  3 O 2.00-2.03
O (0.0050, 0.8948, 0.4177)  2 Sb 2.04-2.09
O (0.0384, 0.5531, 0.3173)  2 Sb 1.98-2.13
O (0.0484, 0.3594, 0.9406)  1 Sb 2.01
O (0.2544, 0.1880, 0.6991)  2 Sb 1.99-2.06
O (0.3053, 0.1974, 0.3360)  2 Sb 1.99-2.03
O (0.3214, 0.4564, 0.0729)  2 Sb 2.03-2.07
O (0.3531, 0.8119, 0.3036)  2 Sb 2.01-2.09
O (0.4440, 0.5092, 0.7311)  2 Sb 2.00-2.02

Values from the calculation:
D(E_F) in states/eV/cell: 0.0
Formation energy (no corrections) in kcal/mol of atoms: -32.3

---

[2]
Below is a relaxed NaSbO3 crystal, with properties calculated at the GGA-PBE level.

abc: 7.9789 8.1892 8.3473
angles: 110.26 108.91 107.82
Last column: nearest neighbours and their distance in Å.
Space group P-1 (No. 2)
Inequivalent atoms, fractional coordinates:
Na (0.0000, 0.0000, 0.0000)  6 O 2.40-2.68
Na (0.0029, 0.5082, 0.3275)  4 O 2.46-2.71
Na (0.3314, 0.8481, 0.2963)  3 O 2.36-2.58
Na (0.5000, 0.5000, 0.0000)  6 O 2.49-2.59
Sb (0.1626, 0.0030, 0.6611)  6 O 1.99-2.04
Sb (0.3401, 0.3424, 0.5022)  6 O 2.00-2.04
Sb (0.4966, 0.1633, 0.1551)  6 O 1.99-2.04
O (0.0137, 0.8644, 0.3656)  2 Sb 2.03
O (0.0420, 0.2253, 0.3471)  2 Sb 2.00-2.03
O (0.2814, 0.1693, 0.9483)  2 Sb 1.99-2.03
O (0.3040, 0.8411, 0.6238)  2 Sb 2.00-2.03
O (0.3181, 0.1238, 0.2744)  2 Sb 2.00-2.02
O (0.3347, 0.5465, 0.7226)  2 Sb 1.99-2.04
O (0.3552, 0.8632, 0.0000)  2 Sb 2.02-2.04
O (0.3574, 0.5132, 0.3753)  2 Sb 2.02-2.03
O (0.3843, 0.2120, 0.6637)  2 Sb 2.00-2.04

Values from the calculation:
D(E_F) in states/eV/cell: 0.0
Formation energy (no corrections) in kcal/mol of atoms: -36.4

---

[3]
Below is a relaxed NaSb5O13 crystal, with properties calculated at the GGA-PBE level.

abc: 16.7679 9.0408 6.6807
angles: 90.00 90.00 90.00
Last column: nearest neighbours and their distance in Å.
Space group Ama2 (No. 40)
Inequivalent atoms, fractional coordinates:
Na (0.2500, 0.1297, 0.0000)  7 O 2.61-2.70
Sb (0.0000, 0.0000, 0.0007)  6 O 1.93-2.08
Sb (0.0798, 0.3859, 0.0006)  6 O 1.95-2.11
Sb (0.1392, 0.2687, 0.5006)  6 O 1.94-2.16
O (0.0000, 0.0000, 0.3117)  3 Sb 2.08-2.11
O (0.0000, 0.0000, 0.6896)  3 Sb 2.08-2.11
O (0.0103, 0.2743, 0.5006)  3 Sb 2.05-2.16
O (0.1150, 0.4866, 0.5008)  2 Sb 1.93-2.01
O (0.1368, 0.2699, 0.2014)  2 Sb 1.95-2.00
O (0.1368, 0.2698, 0.7999)  2 Sb 1.95-2.00
O (0.1542, 0.0540, 0.5007)  2 Sb 1.96-1.97
O (0.2500, 0.3305, 0.5008)  2 Sb 1.94

Values from the calculation:
Formation energy (no corrections) in kcal/mol of atoms: -32.2

---

[4]
Below is a relaxed Na3SbO crystal, with properties calculated at the GGA-PBE level.

abc: 4.7272 4.7272 4.7272
angles: 90.00 90.00 90.00
Last column: nearest neighbours and their distance in Å.
Space group Pm-3m (No. 221)
Inequivalent atoms, fractional coordinates:
Na (0.0000, 0.0000, 0.5000)  2 O 2.36
Sb (0.5000, 0.5000, 0.5000)  12 Na 3.34
O (0.0000, 0.0000, 0.0000)  6 Na 2.36

Values from the calculation:
D(E_F) in states/eV/cell: 5.1
Distance to the lowest polymorph of the same formula in meV/atom: 80
Formation energy (no corrections) in kcal/mol of atoms: -14.4

---

[5]
Below is a relaxed NaSbO3 crystal, with properties calculated at the GGA-PBE level.

abc: 5.4290 5.5083 8.6113
angles: 90.00 90.00 90.00
Last column: nearest neighbours and their distance in Å.
Space group Pnna (No. 52)
Inequivalent atoms, fractional coordinates:
Na (0.2500, 0.0000, 0.1807)  2 O 2.19
Sb (0.2500, 0.0000, 0.5959)  6 O 2.00-2.06
O (0.0677, 0.1827, 0.4220)  2 Sb 2.00-2.06, 1 Na 2.19
O (0.1182, 0.2500, 0.7500)  2 Sb 2.04

Values from the calculation:
D(E_F) in states/eV/cell: 0.0
Formation energy (no corrections) in kcal/mol of atoms: -36.7

---

[6]
Below is a relaxed NaSb6O8 crystal, with properties calculated at the GGA-PBE level.

abc: 10.3367 10.3367 8.2605
angles: 90.00 90.00 120.00
Last column: nearest neighbours and their distance in Å.
Space group R-3 (No. 148, hexagonal axes)
Inequivalent atoms, fractional coordinates:
Na (0.0000, 0.0000, 0.0000)  2 O 2.21
Sb (0.0419, 0.8101, 0.6783)  4 O 2.12-2.26
O (0.0000, 0.0000, 0.2670)  1 Na 2.21, 3 Sb 2.26
O (0.0481, 0.6089, 0.5946)  3 Sb 2.12-2.22

Values from the calculation:
D(E_F) in states/eV/cell: 15.1
Formation energy (no corrections) in kcal/mol of atoms: -24.1

---

[7]
Below is a relaxed Na2SbO4 crystal, with properties calculated at the GGA-PBE level.

abc: 11.1272 3.0554 6.5075
angles: 90.00 121.90 90.00
Last column: nearest neighbours and their distance in Å.
Space group C2/m (No. 12)
Inequivalent atoms, fractional coordinates:
Na (0.1490, 0.0000, 0.1742)  6 O 2.46-2.52
Sb (0.0000, 0.5000, 0.5000)  6 O 1.96-2.06
O (0.0315, 0.5000, 0.8265)  1 Sb 1.96
O (0.1441, 0.0000, 0.5932)  2 Sb 2.06

Values from the calculation:
D(E_F) in states/eV/cell: 8.3
Distance to the lowest polymorph of the same formula in meV/atom: 0
Formation energy (no corrections) in kcal/mol of atoms: -31.0

---

[8]
Below is a relaxed NaSbO4 crystal, with properties calculated at the GGA-PBE level.

abc: 12.4690 5.3586 4.6463
angles: 90.00 100.27 90.00
Last column: nearest neighbours and their distance in Å.
Space group C2/c (No. 15)
Inequivalent atoms, fractional coordinates:
Na (0.0000, 0.2443, 0.2500)  6 O 2.28-2.51
Sb (0.2500, 0.2500, 0.0000)  6 O 1.96-2.06
O (0.1253, 0.4778, 0.9769)  1 Sb 1.96
O (0.1647, 0.0089, 0.6970)  2 Sb 2.06

Values from the calculation:
D(E_F) in states/eV/cell: 7.7
Formation energy (no corrections) in kcal/mol of atoms: -20.6

---

[9]
Below is a relaxed Na2Sb3O8 crystal, with properties calculated at the GGA-PBE level.

abc: 9.3380 9.3380 9.3380
angles: 90.00 90.00 90.00
Last column: nearest neighbours and their distance in Å.
Space group P4_332 (No. 212)
Inequivalent atoms, fractional coordinates:
Na (0.0097, 0.0097, 0.0097)  4 O 2.33-2.35
Sb (0.1156, 0.1344, 0.6250)  6 O 2.01-2.17
O (0.0780, 0.1482, 0.4085)  2 Sb 2.01-2.06
O (0.1155, 0.6155, 0.8845)  3 Sb 2.17, 1 Na 2.33

Values from the calculation:
D(E_F) in states/eV/cell: 2.4
Distance to the lowest polymorph of the same formula in meV/atom: 0
Formation energy (no corrections) in kcal/mol of atoms: -34.4

---

[10]
Below is a relaxed NaSb3O8 crystal, with properties calculated at the GGA-PBE level.

abc: 7.1790 10.3821 7.5030
angles: 90.00 90.00 90.00
Last column: nearest neighbours and their distance in Å.
Space group Ibam (No. 72)
Inequivalent atoms, fractional coordinates:
Na (0.0000, 0.0000, 0.2500)  8 O 2.53-2.58
Sb (0.0000, 0.5000, 0.2500)  8 O 2.06-2.20
Sb (0.2389, 0.2522, 0.0000)  5 O 1.98-2.03
O (0.0124, 0.1633, 0.5000)  2 Sb 1.99-2.03
O (0.1141, 0.4220, 0.0000)  3 Sb 1.98-2.20
O (0.2031, 0.3638, 0.2954)  2 Sb 2.00-2.06

Values from the calculation:
Distance to the lowest polymorph of the same formula in meV/atom: 71
Formation energy (no corrections) in kcal/mol of atoms: -31.4

---

[11]
Below is a relaxed Na8SbO3 crystal, with properties calculated at the GGA-PBE level.

abc: 6.1444 6.1444 6.1444
angles: 90.00 90.00 90.00
Last column: nearest neighbours and their distance in Å.
Space group Pm-3m (No. 221)
Inequivalent atoms, fractional coordinates:
Na (0.2295, 0.2295, 0.2295)  3 O 2.60, 3 Na 2.82, 1 Sb 2.88
Sb (0.5000, 0.5000, 0.5000)  8 Na 2.88
O (0.0000, 0.0000, 0.5000)  8 Na 2.60

Values from the calculation:
D(E_F) in states/eV/cell: 6.7
Formation energy (no corrections) in kcal/mol of atoms: -17.4

---

[12]
Below is a relaxed Na2Sb4O11 crystal, with properties calculated at the GGA-PBE level.

abc: 19.8578 7.6967 7.2977
angles: 90.00 95.95 90.00
Last column: nearest neighbours and their distance in Å.
Space group C2 (No. 5)
Inequivalent atoms, fractional coordinates:
Na (0.0232, 0.0000, 0.2704)  5 O 2.55-2.76
Na (0.2348, 0.3884, 0.0906)  4 O 2.38-2.65
Sb (0.0706, 0.3866, 0.1006)  6 O 1.96-2.11
Sb (0.0770, 0.3875, 0.6210)  6 O 1.95-2.19
Sb (0.1739, 0.1254, 0.4419)  6 O 1.97-2.07
Sb (0.1737, 0.6442, 0.4394)  6 O 1.97-2.10
O (0.0000, 0.2090, 0.0000)  2 Sb 2.04
O (0.0000, 0.5548, 0.0000)  2 Sb 1.99
O (0.0224, 0.3821, 0.3448)  3 Sb 2.02-2.19
O (0.0862, 0.1311, 0.5714)  2 Sb 2.02-2.07
O (0.0896, 0.6387, 0.5734)  2 Sb 1.98-2.02
O (0.1189, 0.3791, 0.8751)  2 Sb 1.95-1.99
O (0.1251, 0.1843, 0.1963)  2 Sb 1.98-2.00
O (0.1337, 0.5712, 0.1895)  2 Sb 1.96-1.99
O (0.1539, 0.8850, 0.3614)  2 Sb 1.97
O (0.1675, 0.3829, 0.5173)  3 Sb 2.02-2.10
O (0.2381, 0.0917, 0.6678)  2 Sb 1.99-2.03
O (0.2391, 0.6779, 0.6669)  2 Sb 2.02

Values from the calculation:
D(E_F) in states/eV/cell: 0.0
Distance to the lowest polymorph of the same formula in meV/atom: 30
Formation energy (no corrections) in kcal/mol of atoms: -33.4

---

[13]
Below is a relaxed Na2SbO4 crystal, with properties calculated at the GGA-PBE level.

abc: 4.0277 4.0277 12.1328
angles: 90.00 90.00 90.00
Last column: nearest neighbours and their distance in Å.
Space group I4/mmm (No. 139)
Inequivalent atoms, fractional coordinates:
Na (0.0000, 0.0000, 0.1530)  1 O 2.28
Sb (0.0000, 0.0000, 0.5000)  6 O 1.93-2.01
O (0.0000, 0.0000, 0.3409)  1 Sb 1.93
O (0.0000, 0.5000, 0.0000)  2 Sb 2.01

Values from the calculation:
D(E_F) in states/eV/cell: 5.2
Distance to the lowest polymorph of the same formula in meV/atom: 16
Formation energy (no corrections) in kcal/mol of atoms: -30.6

---

[14]
Below is a relaxed Na2Sb3O8 crystal, with properties calculated at the GGA-PBE level.

abc: 11.6306 6.4935 5.3818
angles: 90.00 108.98 90.00
Last column: nearest neighbours and their distance in Å.
Space group C2/m (No. 12)
Inequivalent atoms, fractional coordinates:
Na (0.2150, 0.0000, 0.1423)  5 O 2.41-2.63
Sb (0.0000, 0.2358, 0.5000)  6 O 2.03-2.21
Sb (0.0000, 0.5000, 0.0000)  6 O 2.03-2.08
O (0.0969, 0.5000, 0.4002)  3 Sb 2.08-2.21
O (0.0987, 0.2832, 0.8877)  2 Sb 2.03-2.05
O (0.1053, 0.0000, 0.4527)  2 Sb 2.03

Values from the calculation:
D(E_F) in states/eV/cell: 2.4
Distance to the lowest polymorph of the same formula in meV/atom: 10
Formation energy (no corrections) in kcal/mol of atoms: -34.1